The following is a DFT calculation (PBE) of a relaxed LiReAs2 crystal.

a = 3.1777 Å, b = 4.7003 Å, c = 4.7152 Å
α = 90.00°, β = 109.56°, γ = 90.00°
Space group Pm (No. 6)
Inequivalent atoms, fractional coordinates:
1 Li 0.0000 0.0000 0.0000 [1 per cell]
2 Re 0.6233 0.5000 0.2517 [1 per cell]
3 As 0.3486 0.5000 0.7048 [1 per cell]
4 As 0.7226 0.0000 0.4488 [1 per cell]

The following is a DFT calculation (PBE) of a relaxed HIrI2O crystal.

a = 5.2390 Å, b = 5.2390 Å, c = 2.9187 Å
α = 90.00°, β = 90.00°, γ = 90.00°
Space group P4/mmm (No. 123)
Inequivalent atoms, fractional coordinates:
1 H 0.0000 0.0000 0.0000 [1 per cell]
2 Ir 0.5000 0.5000 0.5000 [1 per cell]
3 I 0.0000 0.5000 0.0000 [2 per cell]
4 O 0.0000 0.0000 0.5000 [1 per cell]

no.,distance to the lowest polymorph of the same formula (meV per atom)
1,234
2,421